# 1
VASP calculation (PBE-GGA) on a geometry-optimized RbInGaAu3 structure.

abc: 7.1672 7.2228 7.7081
angles: 117.94 90.00 90.00
Atoms (fractional coordinates):
In 0.2500 0.4616 0.9232
In 0.7500 0.5384 0.0768
Rb 0.7500 0.2354 0.4708
Rb 0.2500 0.7646 0.5292
Au 0.5000 0.7877 0.0000
Au 0.0000 0.7877 0.0000
Au 0.0000 0.2123 0.0000
Au 0.2500 0.2619 0.5238
Au 0.5000 0.2123 0.0000
Au 0.7500 0.7381 0.4762
Ga 0.7500 0.9226 0.8451
Ga 0.2500 0.0774 0.1549

Energy relative to the elements   -0.249 eV/atom
Symmetry   Cmcm, No. 63
Total energy   -3.009 eV per atom

***

# 2
VASP calculation (PBE-GGA) on a geometry-optimized RbInGa2Au structure.

abc: 4.7976 4.7599 6.6078
angles: 111.11 111.29 90.00
Atoms (fractional coordinates):
Ga 0.6956 0.1956 0.3912
Ga 0.0577 0.0577 0.1154
Rb 0.4441 0.4441 0.8883
In 0.1916 0.6916 0.3831
Au 0.8231 0.8231 0.6462

Energy relative to the elements   -0.174 eV/atom
Symmetry   Imm2, No. 44
Total energy   -2.782 eV per atom

***

# 3
VASP calculation (PBE-GGA) on a geometry-optimized Rb2InGa3Au4 structure.

abc: 4.8247 4.8247 10.7827
angles: 90.00 90.00 90.00
Atoms (fractional coordinates):
In 0.5000 0.5000 0.5000
Ga 0.0000 0.5000 0.1115
Ga 0.0000 0.0000 0.5000
Ga 0.5000 0.0000 0.8885
Au 0.0000 0.5000 0.3609
Au 0.0000 0.0000 0.0000
Au 0.5000 0.5000 0.0000
Au 0.5000 0.0000 0.6391
Rb 0.0000 0.5000 0.7588
Rb 0.5000 0.0000 0.2412

Energy relative to the elements   -0.267 eV/atom
Symmetry   P-4m2, No. 115
Total energy   -2.953 eV per atom

***

# 4
VASP calculation (PBE-GGA) on a geometry-optimized RbInGa2Au4 structure.

abc: 4.8285 4.8285 10.9994
angles: 77.32 77.32 60.00
Atoms (fractional coordinates):
Rb 0.0000 0.0000 0.0000
Au 0.1685 0.1685 0.4944
Au 0.4093 0.4093 0.7721
Au 0.5907 0.5907 0.2279
Au 0.8315 0.8315 0.5056
Ga 0.2513 0.2513 0.2460
Ga 0.7487 0.7487 0.7540
In 0.5000 0.5000 0.5000

Energy relative to the elements   -0.129 eV/atom
Symmetry   R-3m, No. 166
Total energy   -2.988 eV per atom

***

# 5
VASP calculation (PBE-GGA) on a geometry-optimized InGaSbAu3 structure.

abc: 3.8596 8.3605 7.9460
angles: 95.22 90.00 90.00
Atoms (fractional coordinates):
Au 0.7500 0.2076 0.6058
Au 0.2500 0.0733 0.1166
Au 0.2500 0.7924 0.3942
Au 0.2500 0.4497 0.7595
Au 0.7500 0.9267 0.8834
Au 0.7500 0.5503 0.2405
In 0.7500 0.3002 0.9731
In 0.2500 0.6998 0.0269
Ga 0.7500 0.9998 0.3306
Ga 0.2500 0.0002 0.6694
Sb 0.7500 0.6615 0.6321
Sb 0.2500 0.3385 0.3679

Symmetry   P2_1/m, No. 11
Formation energy without anion corrections   -0.14 eV per atom
Total energy   -3.428 eV per atom

***

# 6
VASP calculation (PBE-GGA) on a geometry-optimized InGaSb2Au4 structure.

abc: 8.0088 8.0088 8.1378
angles: 120.52 120.52 90.07
Atoms (fractional coordinates):
In 0.0000 0.5000 0.0000
In 0.0000 0.5000 0.5000
Au 0.7495 0.7501 0.5153
Au 0.7588 0.2412 0.9999
Au 0.7412 0.2587 0.4999
Au 0.2413 0.7588 0.0001
Au 0.2505 0.2499 0.4847
Au 0.2588 0.7413 0.5001
Au 0.7499 0.7505 0.9847
Au 0.2501 0.2495 0.0153
Sb 0.0000 0.0000 0.5000
Sb 0.5000 0.0000 0.0000
Sb 0.5000 0.0000 0.5000
Sb 0.5000 0.5000 0.0000
Ga 0.5000 0.5000 0.5000
Ga 0.0000 0.0000 0.0000

Symmetry   Imma, No. 74
Formation energy without anion corrections   -0.08 eV per atom
Total energy   -3.470 eV per atom

***

# 7
VASP calculation (PBE-GGA) on a geometry-optimized InGa2Sb2Au7 structure.

abc: 4.1349 4.1349 15.4928
angles: 86.07 86.07 87.25
Atoms (fractional coordinates):
Au 0.3951 0.3951 0.4175
Au 0.5000 0.5000 0.0000
Au 0.4617 0.9610 0.1480
Au 0.0390 0.5383 0.8520
Au 0.5383 0.0390 0.8520
Au 0.9610 0.4617 0.1480
Au 0.6049 0.6049 0.5825
Ga 0.5666 0.5666 0.7449
Ga 0.4334 0.4334 0.2551
Sb 0.8917 0.8917 0.4180
Sb 0.1083 0.1083 0.5820
In 0.0000 0.0000 0.0000

Symmetry   C2/m, No. 12
Formation energy without anion corrections   -0.08 eV per atom
Total energy   -3.408 eV per atom

***

# 8
VASP calculation (PBE-GGA) on a geometry-optimized Sm2InGa4Au3 structure.

abc: 4.3448 4.3448 11.1229
angles: 90.00 90.00 90.00
Atoms (fractional coordinates):
Ga 0.5000 0.5000 0.0000
Ga 0.0000 0.5000 0.3528
Ga 0.5000 0.0000 0.6472
Ga 0.0000 0.0000 0.0000
Sm 0.0000 0.5000 0.7560
Sm 0.5000 0.0000 0.2440
Au 0.0000 0.5000 0.1298
Au 0.0000 0.0000 0.5000
Au 0.5000 0.0000 0.8702
In 0.5000 0.5000 0.5000

Energy relative to the elements   -0.588 eV/atom
Symmetry   P-4m2, No. 115
Total energy   -4.000 eV per atom

***

# 9
VASP calculation (PBE-GGA) on a geometry-optimized InGa2Sn2Au7 structure.

abc: 4.6385 4.6385 11.6320
angles: 90.02 90.02 77.47
Atoms (fractional coordinates):
Sn 0.0001 0.0001 0.3465
Sn 0.9999 0.9999 0.6535
Ga 0.5004 0.5004 0.7087
Ga 0.4996 0.4996 0.2913
In 0.0000 0.0000 0.0000
Au 0.5003 0.0003 0.8341
Au 0.9997 0.4997 0.1659
Au 0.5000 0.5000 0.0000
Au 0.6936 0.6936 0.4997
Au 0.0003 0.5003 0.8341
Au 0.3064 0.3064 0.5003
Au 0.4997 0.9997 0.1659

Energy relative to the elements   -0.112 eV/atom
Symmetry   Cmmm, No. 65
Total energy   -3.424 eV per atom

***

# 10
VASP calculation (PBE-GGA) on a geometry-optimized InGaSn2Au structure.

abc: 5.6692 5.1588 5.6692
angles: 90.00 90.00 90.00
Atoms (fractional coordinates):
Sn 0.0000 0.0000 0.5000
Sn 0.5000 0.0000 0.0000
Ga 0.5000 0.5000 0.5000
Au 0.0000 0.5000 0.0000
In 0.0000 0.0000 0.0000

Energy relative to the elements   0.559 eV/atom
Symmetry   P4/mmm, No. 123
Total energy   -2.851 eV per atom

***

# 11
VASP calculation (PBE-GGA) on a geometry-optimized InGaSnAu3 structure.

abc: 4.1869 7.7958 7.7147
angles: 91.66 90.00 90.00
Atoms (fractional coordinates):
Au 0.2500 0.7864 0.4079
Au 0.2500 0.0705 0.1155
Au 0.7500 0.5687 0.2430
Au 0.7500 0.2136 0.5921
Au 0.7500 0.9295 0.8845
Au 0.2500 0.4313 0.7570
In 0.7500 0.3029 0.9830
In 0.2500 0.6971 0.0170
Ga 0.2500 0.0098 0.6771
Ga 0.7500 0.9902 0.3229
Sn 0.2500 0.3466 0.3648
Sn 0.7500 0.6534 0.6352

Energy relative to the elements   -0.192 eV/atom
Symmetry   P2_1/m, No. 11
Total energy   -3.459 eV per atom

***

# 12
VASP calculation (PBE-GGA) on a geometry-optimized Sr2In6GaAu structure.

abc: 6.2660 10.4430 9.1174
angles: 90.00 90.00 90.00
Atoms (fractional coordinates):
In 0.2554 0.4834 0.0000
In 0.0000 0.8750 0.7684
In 0.7554 0.5166 0.5000
In 0.7537 0.9849 0.5000
In 0.2537 0.0151 0.0000
In 0.5000 0.1250 0.7316
In 0.7446 0.4834 0.0000
In 0.2446 0.5166 0.5000
In 0.2463 0.9849 0.5000
In 0.7463 0.0151 0.0000
In 0.0000 0.8750 0.2316
In 0.5000 0.1250 0.2684
Au 0.5000 0.2604 0.0000
Au 0.0000 0.7396 0.5000
Sr 0.5000 0.7354 0.2403
Sr 0.0000 0.2646 0.2597
Sr 0.0000 0.2646 0.7403
Sr 0.5000 0.7354 0.7597
Ga 0.5000 0.3012 0.5000
Ga 0.0000 0.6988 0.0000

Energy relative to the elements   -0.189 eV/atom
Symmetry   Pmmn, No. 59
Total energy   -2.799 eV per atom